# Tb2Pr5Tl5 (PBE-GGA, relaxed)
data_Tb2Pr5Tl5
_space_group_name_H-M_alt 'C 1 2/m 1'
_space_group_IT_number 12
_cell_length_a 12.214
_cell_length_b 5.015
_cell_length_c 14.019
_cell_angle_alpha 90.00
_cell_angle_beta 114.76
_cell_angle_gamma 90.00
loop_
_space_group_symop_operation_xyz
'x,y,z'
'-x,-y,-z'
'-x,y,-z'
'x,-y,z'
'x+1/2,y+1/2,z'
'-x+1/2,-y+1/2,-z'
'-x+1/2,y+1/2,-z'
'x+1/2,-y+1/2,z'
loop_
_atom_site_label
_atom_site_type_symbol
_atom_site_fract_x
_atom_site_fract_y
_atom_site_fract_z
Tb1 Tb 0.032 0.000 0.289
Pr1 Pr 0.000 0.500 0.000
Pr2 Pr 0.164 0.500 0.525
Pr3 Pr 0.208 0.500 0.806
Tl1 Tl 0.000 0.000 0.500
Tl2 Tl 0.155 0.000 0.943
Tl3 Tl 0.187 0.500 0.286
# **Energy of formation**: -0.2224 eV per atom



# BaPrZnGa (PBE-GGA, relaxed)
data_BaPrZnGa
_space_group_name_H-M_alt 'F -4 3 m'
_space_group_IT_number 216
_space_group_name_Hall 'F -4 2 3'
_cell_length_a 7.795
_cell_length_b 7.795
_cell_length_c 7.795
_cell_angle_alpha 90.00
_cell_angle_beta 90.00
_cell_angle_gamma 90.00
loop_
_atom_site_label
_atom_site_type_symbol
_atom_site_fract_x
_atom_site_fract_y
_atom_site_fract_z
Ba1 Ba 0.000 0.000 0.000
Pr1 Pr 0.000 0.000 0.500
Zn1 Zn 0.250 0.250 0.750
Ga1 Ga 0.250 0.250 0.250
# **Energy of formation**: -0.2359 eV per atom



# RbCuTe2Se4 (PBE-GGA, relaxed)
data_RbCuTe2Se4
_space_group_name_H-M_alt 'I 2 2 2'
_space_group_IT_number 23
_cell_length_a 7.276
_cell_length_b 7.300
_cell_length_c 8.995
_cell_angle_alpha 90.00
_cell_angle_beta 90.00
_cell_angle_gamma 90.00
loop_
_space_group_symop_operation_xyz
'x,y,z'
'-x,-y,z'
'x,-y,-z'
'-x,y,-z'
'x+1/2,y+1/2,z+1/2'
'-x+1/2,-y+1/2,z+1/2'
'x+1/2,-y+1/2,-z+1/2'
'-x+1/2,y+1/2,-z+1/2'
loop_
_atom_site_label
_atom_site_type_symbol
_atom_site_fract_x
_atom_site_fract_y
_atom_site_fract_z
Rb1 Rb 0.000 0.000 0.000
Cu1 Cu 0.000 0.000 0.500
Te1 Te 0.000 0.500 0.251
Se1 Se 0.199 0.198 0.641
# **Formation energy without anion corrections**: -264 meV/atom



# Cs2HgMoCl6 (PBE-GGA, relaxed)
data_Cs2HgMoCl6
_space_group_name_H-M_alt 'R -3 m'
_space_group_IT_number 166
_space_group_name_Hall '-R 3 2"'
_cell_length_a 7.3478
_cell_length_b 7.3478
_cell_length_c 55.1950
_cell_angle_alpha 90.00
_cell_angle_beta 90.00
_cell_angle_gamma 120.00
loop_
_atom_site_label
_atom_site_type_symbol
_atom_site_fract_x
_atom_site_fract_y
_atom_site_fract_z
Cs1 Cs 0.0000 0.0000 0.1404
Cs2 Cs 0.0000 0.0000 0.3071
Hg1 Hg 0.0000 0.0000 0.4155
Mo1 Mo 0.0000 0.0000 0.0000
Mo2 Mo 0.0000 0.0000 0.5000
Cl1 Cl 0.0250 0.5125 0.6919
Cl2 Cl 0.0251 0.5126 0.1414
# **Formation energy without anion corrections**: -1264 meV/atom
# **Energy above the lowest structure with this stoichiometry**: 0.00 eV per formula unit



# HoTmCoHg (PBE-GGA, relaxed)
data_HoTmCoHg
_space_group_name_H-M_alt 'F -4 3 m'
_space_group_IT_number 216
_space_group_name_Hall 'F -4 2 3'
_cell_length_a 7.040
_cell_length_b 7.040
_cell_length_c 7.040
_cell_angle_alpha 90.00
_cell_angle_beta 90.00
_cell_angle_gamma 90.00
loop_
_atom_site_label
_atom_site_type_symbol
_atom_site_fract_x
_atom_site_fract_y
_atom_site_fract_z
Ho1 Ho 0.000 0.000 0.000
Tm1 Tm 0.000 0.000 0.500
Co1 Co 0.250 0.250 0.750
Hg1 Hg 0.250 0.250 0.250
# **Energy above the lowest structure with this stoichiometry**: 0.44 eV per formula unit
# **Energy of formation**: -0.2469 eV per atom



# Tc2C2Cl (PBE-GGA, relaxed)
data_Tc2C2Cl
_space_group_name_H-M_alt 'P 4/m b m'
_space_group_IT_number 127
_space_group_name_Hall '-P 4 2ab'
_cell_length_a 6.422
_cell_length_b 6.422
_cell_length_c 2.794
_cell_angle_alpha 90.00
_cell_angle_beta 90.00
_cell_angle_gamma 90.00
loop_
_atom_site_label
_atom_site_type_symbol
_atom_site_fract_x
_atom_site_fract_y
_atom_site_fract_z
Tc1 Tc 0.141 0.359 0.000
C1 C 0.123 0.623 0.500
Cl1 Cl 0.000 0.000 0.000
# **Formation energy without anion corrections**: 956 meV/atom
# **Energy above the lowest structure with this stoichiometry**: 0.70 eV per formula unit



Number 1: size of the total moment 0.00 μB/atom, calculated volume 32.49 Å³/atom. Number 2: size of the total moment 0.00 μB/atom, calculated volume 29.60 Å³/atom. Number 3: size of the total moment 0.00 μB/atom, calculated volume 29.86 Å³/atom. Number 4: size of the total moment 0.20 μB/atom, calculated volume 43.01 Å³/atom. Number 5: size of the total moment 0.15 μB/atom, calculated volume 21.81 Å³/atom. Number 6: size of the total moment 0.00 μB/atom, calculated volume 11.52 Å³/atom.